Entry from Alexandria via LeMat-Bulk: BaMg4Sc after structural relaxation (PBEsol).

As for the density of states at the Fermi level: 20.9 states/eV per cell. The calculated formation energy comes out at 0.03 eV/atom. For the final energy, the calculation gives -0.189 Ry per atom. For the volume, the calculation gives 652 Å³/cell. For the density, the calculation gives 2.85 g/cm³.

The structure belongs to space group F-43m (No. 216); the cell edges are 8.6727, 8.6727 and 8.6727 Å and the angles 90.00°, 90.00° and 90.00°. The distinct sites, in fractional coordinates, are Ba at (0.0000, 0.0000, 0.0000), Mg at (0.1237, 0.1237, 0.6237) and Sc at (0.2500, 0.2500, 0.2500).


Entry from Alexandria via LeMat-Bulk: Zr2ZnSe after structural relaxation (PBEsol).

The offset from the most stable computed form is 95 meV/atom. The energy relative to the elements, uncorrected is -0.509 eV/atom. As for the density of states at the Fermi level: 5.4 states/eV per cell. For the final energy, the calculation gives -0.471 Ry per atom. For the volume, the calculation gives 154 Å³/cell. For the density, the calculation gives 7.05 g/cm³.

The structure belongs to space group Imm2 (No. 44); the cell edges are 3.2916, 4.5167 and 10.3517 Å and the angles 90.00°, 90.00° and 90.00°. The distinct sites, in fractional coordinates, are Zr at (0.0000, 0.0000, 0.0000), Zr at (0.0000, 0.5000, 0.2477), Zn at (0.0000, 0.0000, 0.4591) and Se at (0.0000, 0.5000, 0.7099).


Entry from Alexandria via LeMat-Bulk: InS2F2 after structural relaxation (PBEsol).

The energy relative to the elements, uncorrected is -0.577 eV/atom. As for the density of states at the Fermi level: 4.7 states/eV per cell. For the final energy, the calculation gives -0.272 Ry per atom. For the volume, the calculation gives 176 Å³/cell. For the density, the calculation gives 4.10 g/cm³.

The structure belongs to space group I4/mmm (No. 139); the cell edges are 4.6978, 4.6978 and 7.9537 Å and the angles 90.00°, 90.00° and 90.00°. The distinct sites, in fractional coordinates, are In at (0.0000, 0.0000, 0.0000), S at (0.0000, 0.0000, 0.3830) and F at (0.0000, 0.5000, 0.2500).


Entry from Alexandria via LeMat-Bulk: MnWAu2 after structural relaxation (PBEsol).

The offset from the most stable computed form is 83 meV/atom. As for the density of states at the Fermi level: 7.6 states/eV per cell. The calculated formation energy comes out at 0.37 eV/atom. For the final energy, the calculation gives -0.550 Ry per atom. For the volume, the calculation gives 122 Å³/cell. For the density, the calculation gives 17.19 g/cm³.

The structure belongs to space group I4/mmm (No. 139); the cell edges are 3.8839, 3.8839 and 8.1048 Å and the angles 90.00°, 90.00° and 90.00°. The distinct sites, in fractional coordinates, are Mn at (0.0000, 0.0000, 0.0000), W at (0.0000, 0.0000, 0.5000) and Au at (0.0000, 0.5000, 0.2500).


Entry from Alexandria via LeMat-Bulk: TcCl4 after structural relaxation (PBEsol).

The offset from the most stable computed form is 0 meV/atom. The energy relative to the elements, uncorrected is -0.645 eV/atom. For the final energy, the calculation gives -0.331 Ry per atom. For the volume, the calculation gives 1017 Å³/cell. For the density, the calculation gives 3.13 g/cm³.

The structure belongs to space group Pbca (No. 61); the cell edges are 5.9917, 11.9038 and 14.2657 Å and the angles 90.00°, 90.00° and 90.00°. The distinct sites, in fractional coordinates, are Tc at (0.1024, 0.1283, 0.1807), Cl at (0.0431, 0.7452, 0.4251), Cl at (0.0712, 0.7389, 0.1936), Cl at (0.2241, 0.5175, 0.3065) and Cl at (0.2479, 0.0112, 0.0749).


Entry from Alexandria via LeMat-Bulk: MgIr2Ru after structural relaxation (PBEsol).

As for the density of states at the Fermi level: 7.4 states/eV per cell. The calculated formation energy comes out at -0.02 eV/atom. For the final energy, the calculation gives -0.581 Ry per atom. For the volume, the calculation gives 113 Å³/cell. For the density, the calculation gives 14.96 g/cm³.

The structure belongs to space group I-4m2 (No. 119); the cell edges are 3.8088, 3.8088 and 7.7991 Å and the angles 90.00°, 90.00° and 90.00°. The distinct sites, in fractional coordinates, are Mg at (0.0000, 0.0000, 0.0000), Ir at (0.0000, 0.0000, 0.5000), Ir at (0.0000, 0.5000, 0.7500) and Ru at (0.0000, 0.5000, 0.2500).


Entry from Alexandria via LeMat-Bulk: ScPt2Rh after structural relaxation (PBEsol).

As for the density of states at the Fermi level: 3.7 states/eV per cell. The calculated formation energy comes out at -0.70 eV/atom. For the final energy, the calculation gives -0.578 Ry per atom. For the volume, the calculation gives 61 Å³/cell. For the density, the calculation gives 14.57 g/cm³.

The structure belongs to space group Pmm2 (No. 25); the cell edges are 2.9017, 4.4657 and 4.7334 Å and the angles 90.00°, 90.00° and 90.00°. The distinct sites, in fractional coordinates, are Sc at (0.0000, 0.0000, 0.0000), Pt at (0.5000, 0.0000, 0.4860), Pt at (0.5000, 0.5000, 0.8426) and Rh at (0.0000, 0.5000, 0.3589).


Entry from Alexandria via LeMat-Bulk: AsIrBr2O after structural relaxation (PBEsol).

The offset from the most stable computed form is 246 meV/atom. The energy relative to the elements, uncorrected is 1.116 eV/atom. As for the density of states at the Fermi level: 4.7 states/eV per cell. For the final energy, the calculation gives -0.270 Ry per atom. For the volume, the calculation gives 87 Å³/cell. For the density, the calculation gives 8.49 g/cm³.

The structure belongs to space group P4/mmm (No. 123); the cell edges are 4.6177, 4.6177 and 4.0623 Å and the angles 90.00°, 90.00° and 90.00°. The distinct sites, in fractional coordinates, are As at (0.0000, 0.0000, 0.0000), Ir at (0.5000, 0.5000, 0.0000), Br at (0.0000, 0.5000, 0.5000) and O at (0.0000, 0.0000, 0.5000).


Entry from Alexandria via LeMat-Bulk: NdTl3 after structural relaxation (PBEsol).

As for the density of states at the Fermi level: 2.2 states/eV per cell. The calculated formation energy comes out at -0.38 eV/atom. For the final energy, the calculation gives -0.268 Ry per atom. For the volume, the calculation gives 105 Å³/cell. For the density, the calculation gives 11.95 g/cm³.

The structure belongs to space group Pm-3m (No. 221); the cell edges are 4.7217, 4.7217 and 4.7217 Å and the angles 90.00°, 90.00° and 90.00°. The distinct sites, in fractional coordinates, are Nd at (0.0000, 0.0000, 0.0000) and Tl at (0.0000, 0.5000, 0.5000).


Entry from Alexandria via LeMat-Bulk: CsRbYOs2 after structural relaxation (PBEsol).

As for the density of states at the Fermi level: 4.7 states/eV per cell. The calculated formation energy comes out at 1.82 eV/atom. For the final energy, the calculation gives -0.354 Ry per atom. For the volume, the calculation gives 156 Å³/cell. For the density, the calculation gives 7.34 g/cm³.

The structure belongs to space group P4/mmm (No. 123); the cell edges are 5.0364, 5.0364 and 6.1335 Å and the angles 90.00°, 90.00° and 90.00°. The distinct sites, in fractional coordinates, are Cs at (0.0000, 0.0000, 0.0000), Rb at (0.5000, 0.5000, 0.0000), Y at (0.0000, 0.0000, 0.5000) and Os at (0.0000, 0.5000, 0.5000).


Entry from Alexandria via LeMat-Bulk: La3In after structural relaxation (PBEsol).

The offset from the most stable computed form is 18 meV/atom. As for the density of states at the Fermi level: 23.7 states/eV per cell. The calculated formation energy comes out at -0.31 eV/atom. For the final energy, the calculation gives -0.372 Ry per atom. For the volume, the calculation gives 489 Å³/cell. For the density, the calculation gives 7.22 g/cm³.

The structure belongs to space group P6_3/mmc (No. 194); the cell edges are 7.0458, 7.0458 and 11.3661 Å and the angles 90.00°, 90.00° and 120.00°. The distinct sites, in fractional coordinates, are La at (0.0000, 0.5000, 0.0000), La at (0.1586, 0.3172, 0.2500), In at (0.0000, 0.0000, 0.0000) and In at (0.3333, 0.6667, 0.7500).


Entry from Alexandria via LeMat-Bulk: FeTe2IrI after structural relaxation (PBEsol).

The energy relative to the elements, uncorrected is 1.055 eV/atom. As for the density of states at the Fermi level: 8.0 states/eV per cell. For the final energy, the calculation gives -0.328 Ry per atom. For the volume, the calculation gives 142 Å³/cell. For the density, the calculation gives 7.35 g/cm³.

The structure belongs to space group P4/mmm (No. 123); the cell edges are 5.1409, 5.1409 and 5.3888 Å and the angles 90.00°, 90.00° and 90.00°. The distinct sites, in fractional coordinates, are Fe at (0.0000, 0.0000, 0.0000), Te at (0.0000, 0.5000, 0.5000), Ir at (0.5000, 0.5000, 0.5000) and I at (0.5000, 0.5000, 0.0000).